First-principles (SCAN) data for a PBEsol-optimized structure of FeIr2PtBr, as listed in the Alexandria database.

Cell lengths 4.5341, 4.5341, 4.6161 Å; angles 90.00, 90.00, 90.00 degrees
Last column: nearest neighbours and their distance in Å.
Space group P4/mmm (No. 123)
Inequivalent atoms, fractional coordinates:
Fe (0.0000, 0.0000, 0.0000) [1 per cell]  4 Pt 3.21, 8 Ir 3.24
Ir (0.0000, 0.5000, 0.5000) [2 per cell]  2 Br 2.27
Pt (0.5000, 0.5000, 0.0000) [1 per cell]  2 Br 2.31
Br (0.5000, 0.5000, 0.5000) [1 per cell]  4 Ir 2.27, 2 Pt 2.31

The value obtained for the uncorrected formation energy is 1.964 eV per atom.

***

First-principles (SCAN) data for a PBEsol-optimized structure of Li2LaIn2, as listed in the Alexandria database.

Cell lengths 8.4982, 8.4982, 3.0700 Å; angles 90.00, 90.00, 90.00 degrees
Last column: nearest neighbours and their distance in Å.
Space group P4/mbm (No. 127)
Inequivalent atoms, fractional coordinates:
Li (0.1168, 0.3832, 0.0000) [4 per cell]  3 Li 2.81-3.07, 6 In 2.92-2.97
La (0.0000, 0.0000, 0.0000) [2 per cell]  2 La 3.07, 4 Li 3.40
In (0.1765, 0.6765, 0.5000) [4 per cell]  6 Li 2.92-2.97, 2 In 3.07

The value obtained for the offset from the most stable computed form is 0.000 eV per atom. The calculation puts the formation energy at -0.456 eV per atom.

***

First-principles (SCAN) data for a PBEsol-optimized structure of Re4Os, as listed in the Alexandria database.

Cell lengths 3.7499, 3.7499, 11.7135 Å; angles 90.00, 90.00, 90.00 degrees
Last column: nearest neighbours and their distance in Å.
Space group I4/mmm (No. 139)
Inequivalent atoms, fractional coordinates:
Re (0.0000, 0.0000, 0.1029) [4 per cell]  5 Re 2.41-2.55
Re (0.0000, 0.5000, 0.2500) [4 per cell]  8 Re 2.55-2.65
Os (0.0000, 0.0000, 0.5000) [2 per cell]  8 Re 2.91

The calculation puts the formation energy at 0.992 eV per atom.

***

First-principles (SCAN) data for a PBEsol-optimized structure of SiTePtI2, as listed in the Alexandria database.

Cell lengths 5.2944, 5.2944, 5.3032 Å; angles 90.00, 90.00, 90.00 degrees
Last column: nearest neighbours and their distance in Å.
Space group P4/mmm (No. 123)
Inequivalent atoms, fractional coordinates:
Si (0.0000, 0.0000, 0.0000) [1 per cell]  4 Te 3.74, 8 I 3.75
Te (0.5000, 0.5000, 0.0000) [1 per cell]  2 Pt 2.65
Pt (0.5000, 0.5000, 0.5000) [1 per cell]  4 I 2.65, 2 Te 2.65
I (0.0000, 0.5000, 0.5000) [2 per cell]  2 Pt 2.65

The value obtained for the uncorrected formation energy is 0.617 eV per atom.

***

First-principles (SCAN) data for a PBEsol-optimized structure of TePb2Se, as listed in the Alexandria database.

Cell lengths 4.4245, 4.4245, 21.6807 Å; angles 90.00, 90.00, 120.00 degrees
Last column: nearest neighbours and their distance in Å.
Space group R-3m (No. 166, hexagonal axes)
Inequivalent atoms, fractional coordinates:
Te (0.0000, 0.0000, 0.0000) [3 per cell]  6 Pb 3.20
Pb (0.0000, 0.0000, 0.2445) [6 per cell]  3 Se 3.06, 3 Te 3.20
Se (0.0000, 0.0000, 0.5000) [3 per cell]  6 Pb 3.06

The value obtained for the uncorrected formation energy is -0.467 eV per atom. The value obtained for the offset from the most stable computed form is 0.000 eV per atom.

***

First-principles (SCAN) data for a PBEsol-optimized structure of KSbBr2, as listed in the Alexandria database.

Cell lengths 3.5319, 3.5319, 8.7543 Å; angles 90.00, 90.00, 90.00 degrees
Last column: nearest neighbours and their distance in Å.
Space group P4/mmm (No. 123)
Inequivalent atoms, fractional coordinates:
K (0.0000, 0.0000, 0.0000) [1 per cell]  8 Br 3.24, 4 K 3.53
Sb (0.0000, 0.0000, 0.5000) [1 per cell]  8 Br 3.40, 4 Sb 3.53
Br (0.5000, 0.5000, 0.2361) [2 per cell]  4 K 3.24, 4 Sb 3.40, 4 Br 3.53

The value obtained for the uncorrected formation energy is -0.657 eV per atom. The value obtained for the offset from the most stable computed form is 0.128 eV per atom.

***

First-principles (SCAN) data for a PBEsol-optimized structure of BeIr2O, as listed in the Alexandria database.

Cell lengths 4.9420, 4.9420, 8.8548 Å; angles 90.00, 90.00, 90.00 degrees
Last column: nearest neighbours and their distance in Å.
Space group I-42d (No. 122)
Inequivalent atoms, fractional coordinates:
Be (0.0000, 0.0000, 0.0000) [4 per cell]  4 Ir 2.13
Ir (0.2280, 0.2500, 0.6250) [8 per cell]  2 O 2.01, 2 Be 2.13
O (0.0000, 0.0000, 0.5000) [4 per cell]  4 Ir 2.01

The value obtained for the uncorrected formation energy is 0.565 eV per atom.

***

First-principles (SCAN) data for a PBEsol-optimized structure of LiNi2Rh, as listed in the Alexandria database.

Cell lengths 3.4755, 3.4755, 3.6811 Å; angles 90.00, 90.00, 90.00 degrees
Last column: nearest neighbours and their distance in Å.
Space group P4/mmm (No. 123)
Inequivalent atoms, fractional coordinates:
Li (0.0000, 0.0000, 0.0000) [1 per cell]  4 Rh 2.46, 8 Ni 2.53
Ni (0.0000, 0.5000, 0.5000) [2 per cell]  4 Ni 2.46, 4 Li 2.53, 4 Rh 2.53
Rh (0.5000, 0.5000, 0.0000) [1 per cell]  4 Li 2.46, 8 Ni 2.53

The calculation puts the formation energy at 0.028 eV per atom.